Entry 1:
The following is a DFT calculation (PBE-GGA) of crystalline GdAl3 at its relaxed geometry.

DFT formation energy   -0.436 eV per atom
Crystal system   hexagonal
Raw total energy   -54.11 eV for the cell shown
Space-group type   No. 194

a = 6.296 Å, b = 6.296 Å, c = 4.662 Å
α = 90.00°, β = 90.00°, γ = 120.00°
Element x y z (fractional)
Gd 0.333 0.667 0.250
Gd 0.667 0.333 0.750
Al 0.146 0.292 0.750
Al 0.146 0.854 0.750
Al 0.292 0.146 0.250
Al 0.708 0.854 0.750
Al 0.854 0.146 0.250
Al 0.854 0.708 0.250

---

Entry 2:
The following is a DFT calculation (PBE-GGA) of crystalline LiTl2Zn2 at its relaxed geometry.

DFT formation energy   0.098 eV per atom
Crystal system   tetragonal
Energy above the most stable polymorph in this dataset   69.3 meV per atom
Raw total energy   -8.70 eV for the cell shown
Space-group type   No. 139

a = 5.558 Å, b = 5.558 Å, c = 5.558 Å
α = 119.89°, β = 119.89°, γ = 90.19°
Element x y z (fractional)
Li 0.000 0.000 0.000
Tl 0.250 0.750 0.500
Tl 0.750 0.250 0.500
Zn 0.344 0.344 0.000
Zn 0.656 0.656 0.000

---

Entry 3:
The following is a DFT calculation (PBE-GGA) of crystalline LiCaTeH at its relaxed geometry.

Crystal system   monoclinic
Energy above the most stable polymorph in this dataset   117.6 meV per atom
Raw total energy   -13.68 eV for the cell shown
Space-group type   No. 8

a = 6.692 Å, b = 6.692 Å, c = 4.454 Å
α = 105.69°, β = 105.69°, γ = 33.96°
Element x y z (fractional)
Li 0.000 0.000 0.000
Ca 0.252 0.252 0.727
Te 0.648 0.648 0.145
H 0.859 0.859 0.817